# 1
Here is FeTc2Te after structural relaxation from Alexandria via LeMat-Bulk. Energies are from GGA-PBEsol.

Properties
Space-group type: Pmmm (47)
Formation energy (no corrections): 1.9 eV per formula unit

The structure in extended XYZ format:
```
4
Lattice="3.1332 0.0000 0.0000 0.0000 4.2709 0.0000 0.0000 0.0000 4.4242" Properties=species:S:1:pos:R:3 pbc="T T T"
Fe 0.0000 0.0000 0.0000
Tc 0.0000 2.1354 2.2121
Tc 1.5666 0.0000 2.2121
Te 1.5666 2.1354 0.0000
```



# 2
Here is Ti3FeTc after structural relaxation from Alexandria via LeMat-Bulk. Energies are from GGA-PBEsol.

Properties
Space-group type: Pm-3m (221)
Energy of formation: 0.921 eV/atom

The structure in extended XYZ format:
```
5
Lattice="4.5905 0.0000 0.0000 0.0000 4.5905 0.0000 0.0000 0.0000 4.5905" Properties=species:S:1:pos:R:3 pbc="T T T"
Ti 0.0000 0.0000 2.2953
Ti 0.0000 2.2953 0.0000
Ti 2.2953 0.0000 0.0000
Fe 2.2953 2.2953 2.2953
Tc 0.0000 0.0000 0.0000
```



# 3
Here is Ti2FeTc after structural relaxation from Alexandria via LeMat-Bulk. Energies are from GGA-PBEsol.

Properties
Space-group type: Fm-3m (225)
Energy of formation: -0.449 eV/atom

The structure in extended XYZ format:
```
4
Lattice="0.0000 2.9956 2.9956 2.9956 0.0000 2.9956 2.9956 2.9956 0.0000" Properties=species:S:1:pos:R:3 pbc="T T T"
Ti 1.4978 1.4978 1.4978
Ti 4.4934 4.4934 4.4934
Fe 0.0000 0.0000 0.0000
Tc 2.9956 2.9956 2.9956
```



# 4
Here is Fe2TcW after structural relaxation from Alexandria via LeMat-Bulk. Energies are from GGA-PBEsol.

Properties
Space-group type: P4mm (99)
Energy of formation: 0.084 eV/atom

The structure in extended XYZ format:
```
4
Lattice="3.0211 0.0000 0.0000 0.0000 3.0211 0.0000 0.0000 0.0000 5.7007" Properties=species:S:1:pos:R:3 pbc="T T T"
Fe 0.0000 0.0000 0.0000
Fe 1.5105 1.5105 1.2675
Tc 0.0000 0.0000 2.7443
W 1.5105 1.5105 4.2534
```